Density functional theory data (PBE-GGA) for YTa2S4 after structural relaxation.

Structure (POSCAR):
```
YTa2S4
1.0
3.694 0.000 0.000
0.000 5.580 -1.964
0.000 0.216 6.632
Ta S Y
2 4 1
direct
0.587 0.000 0.500
0.928 0.500 0.500
0.063 0.251 0.728
0.063 0.749 0.272
0.454 0.261 0.271
0.454 0.739 0.729
0.951 0.000 0.000
```

Summary:
formation energy from raw total energies	-1.185	eV/atom
spin magnetization	0.0000	μB/atom

Density functional theory data (PBE-GGA) for YTaS2 after structural relaxation.

Structure (POSCAR):
```
YTaS2
1.0
1.988 0.000 8.553
-0.994 1.721 8.553
-0.994 -1.721 8.553
S Y Ta
2 1 1
direct
0.893 0.893 0.893
0.107 0.107 0.107
0.000 0.000 0.000
0.500 0.500 0.500
```

Summary:
formation energy from raw total energies	-0.820	eV/atom
spin magnetization	0.0000	μB/atom
ΔE to the lowest computed polymorph	0.1402	eV/atom

Density functional theory data (PBE-GGA) for YTa6S8 after structural relaxation.

Structure (POSCAR):
```
YTa6S8
1.0
-2.218 5.736 2.406
-4.195 -3.078 4.066
4.447 -0.078 4.881
S Ta Y
8 6 1
direct
0.757 0.389 0.132
0.132 0.757 0.389
0.229 0.229 0.229
0.243 0.611 0.868
0.771 0.771 0.771
0.389 0.132 0.757
0.611 0.868 0.243
0.868 0.243 0.611
0.202 0.409 0.555
0.798 0.591 0.445
0.555 0.202 0.409
0.591 0.445 0.798
0.445 0.798 0.591
0.409 0.555 0.202
0.000 0.000 0.000
```

Summary:
formation energy from raw total energies	-0.938	eV/atom
spin magnetization	0.0000	μB/atom

Density functional theory data (PBE-GGA) for YTaS3 after structural relaxation.

Structure (POSCAR):
```
YTaS3
1.0
5.077 0.000 0.000
0.000 5.077 0.000
0.000 0.000 5.077
S Ta Y
3 1 1
direct
0.500 0.000 0.000
0.000 0.000 0.500
0.000 0.500 0.000
0.500 0.500 0.500
0.000 0.000 0.000
```

Summary:
formation energy from raw total energies	0.303	eV/atom
spin magnetization	0.4000	μB/atom
ΔE to the lowest computed polymorph	1.7601	eV/atom

Density functional theory data (PBE-GGA) for YTa2S5 after structural relaxation.

Structure (POSCAR):
```
YTa2S5
1.0
0.110 3.330 4.542
-6.421 1.321 -0.763
-1.330 -3.053 5.764
S Ta Y
5 2 1
direct
0.510 0.743 0.153
0.000 0.500 0.500
0.163 0.743 0.847
0.837 0.257 0.153
0.490 0.257 0.847
0.207 0.500 0.086
0.793 0.500 0.914
0.500 0.500 0.500
```

Summary:
formation energy from raw total energies	-1.100	eV/atom
spin magnetization	0.0000	μB/atom

Density functional theory data (PBE-GGA) for YTaS2 after structural relaxation.

Structure (POSCAR):
```
YTaS2
1.0
1.656 -2.768 3.261
-1.974 -0.105 4.139
-2.390 -3.690 1.307
S Y Ta
2 1 1
direct
0.750 0.750 0.750
0.250 0.250 0.250
0.000 0.000 0.000
0.500 0.500 0.500
```

Summary:
formation energy from raw total energies	-0.960	eV/atom
spin magnetization	0.0000	μB/atom
ΔE to the lowest computed polymorph	0.0000	eV/atom